# Al4SiPb | Alexandria via LeMat-Bulk | GGA-PBE | relaxed
# Formation energy without anion corrections = 32.6 kJ/mol of atoms
# Density of states at the Fermi level = 0.63 states/eV/atom
# Raw total energy = -3.679 eV/atom
data_Al4SiPb
_chemical_formula_sum 'Al16 Si4 Pb4'
_cell_length_a 7.815
_cell_length_b 7.815
_cell_length_c 7.815
_cell_angle_alpha 90.00
_cell_angle_beta 90.00
_cell_angle_gamma 90.00
_space_group_name_H-M_alt 'F -4 3 m'
_space_group_IT_number 216
_space_group_name_Hall 'F -4 2 3'
loop_
_atom_site_label
_atom_site_type_symbol
_atom_site_fract_x
_atom_site_fract_y
_atom_site_fract_z
Al1 Al 0.124 0.124 0.376
Si1 Si 0.250 0.250 0.750
Pb1 Pb 0.000 0.000 0.000